1.
Here is BiIrOsPd after structural relaxation from Alexandria. Energies are from GGA-PBE.

Unit cell a=2.898 b=4.330 c=5.803 alpha=90.00 beta=100.03 gamma=90.00
Element x y z (fractional)
Bi 0.000 0.000 0.000
Ir 0.356 0.000 0.474
Os 0.801 0.500 0.349
Pd 0.433 0.500 0.773

Calculated values
Crystal system: monoclinic
Energy of formation from the pure elements, eV/atom: 0.466
Excess energy over the best structure of this formula in the dataset, meV per atom: 83

2.
Here is Pb4W after structural relaxation from Alexandria. Energies are from GGA-PBE.

Unit cell a=7.234 b=7.234 c=5.094 alpha=90.00 beta=90.00 gamma=90.00
Element x y z (fractional)
Pb 0.124 0.300 0.000
Pb 0.200 0.624 0.500
Pb 0.300 0.876 0.000
Pb 0.376 0.200 0.500
Pb 0.624 0.800 0.500
Pb 0.700 0.124 0.000
Pb 0.800 0.376 0.500
Pb 0.876 0.700 0.000
W 0.000 0.000 0.500
W 0.500 0.500 0.000

Calculated values
Crystal system: tetragonal
Energy of formation from the pure elements, eV/atom: 0.798
Excess energy over the best structure of this formula in the dataset, meV per atom: 102

3.
Here is CuPtS after structural relaxation from Alexandria. Energies are from GGA-PBE.

Unit cell a=4.356 b=3.513 c=6.926 alpha=90.00 beta=92.18 gamma=90.00
Element x y z (fractional)
Cu 0.000 0.000 0.000
Cu 0.488 0.500 0.392
Pt 0.245 0.500 0.745
Pt 0.863 0.000 0.551
S 0.199 0.000 0.296
S 0.571 0.000 0.819

Calculated values
Crystal system: monoclinic
Excess energy over the best structure of this formula in the dataset, meV per atom: 60

4.
Here is As2OsBr after structural relaxation from Alexandria. Energies are from GGA-PBE.

Unit cell a=7.322 b=3.234 c=8.008 alpha=90.00 beta=107.40 gamma=90.00
Element x y z (fractional)
As 0.148 0.000 0.337
As 0.352 0.500 0.663
As 0.648 0.500 0.337
As 0.852 0.000 0.663
Os 0.000 0.500 0.500
Os 0.500 0.000 0.500
Br 0.000 0.000 0.000
Br 0.500 0.500 0.000

Calculated values
Crystal system: monoclinic
Excess energy over the best structure of this formula in the dataset, meV per atom: 0

5.
Here is Ba2CaFe after structural relaxation from Alexandria. Energies are from GGA-PBE.

Unit cell a=8.409 b=8.409 c=10.760 alpha=90.00 beta=90.00 gamma=90.00
Element x y z (fractional)
Ba 0.078 0.250 0.125
Ba 0.250 0.578 0.375
Ba 0.250 0.922 0.875
Ba 0.422 0.250 0.625
Ba 0.578 0.750 0.625
Ba 0.750 0.078 0.875
Ba 0.750 0.422 0.375
Ba 0.922 0.750 0.125
Ca 0.000 0.000 0.500
Ca 0.000 0.500 0.750
Ca 0.500 0.000 0.250
Ca 0.500 0.500 0.000
Fe 0.000 0.000 0.000
Fe 0.000 0.500 0.250
Fe 0.500 0.000 0.750
Fe 0.500 0.500 0.500

Calculated values
Crystal system: tetragonal
Energy of formation from the pure elements, eV/atom: 0.878
Excess energy over the best structure of this formula in the dataset, meV per atom: 454

6.
Here is CaSiMo2 after structural relaxation from Alexandria. Energies are from GGA-PBE.

Unit cell a=4.627 b=4.627 c=18.203 alpha=90.00 beta=90.00 gamma=90.00
Element x y z (fractional)
Ca 0.000 0.000 0.000
Ca 0.000 0.500 0.250
Ca 0.500 0.000 0.750
Ca 0.500 0.500 0.500
Si 0.000 0.000 0.500
Si 0.000 0.500 0.750
Si 0.500 0.000 0.250
Si 0.500 0.500 0.000
Mo 0.027 0.750 0.625
Mo 0.250 0.027 0.375
Mo 0.250 0.473 0.875
Mo 0.473 0.750 0.125
Mo 0.527 0.250 0.125
Mo 0.750 0.527 0.875
Mo 0.750 0.973 0.375
Mo 0.973 0.250 0.625

Calculated values
Crystal system: tetragonal

7.
Here is NaHoTi2O6 after structural relaxation from Alexandria. Energies are from GGA-PBE.

Unit cell a=7.611 b=5.542 c=5.329 alpha=90.00 beta=90.00 gamma=90.00
Element x y z (fractional)
Na 0.000 0.218 0.000
Na 0.500 0.782 0.500
Ho 0.000 0.677 0.520
Ho 0.500 0.323 0.020
Ti 0.247 0.233 0.518
Ti 0.253 0.767 0.018
Ti 0.747 0.767 0.018
Ti 0.753 0.233 0.518
O 0.000 0.275 0.423
O 0.000 0.776 0.106
O 0.197 0.943 0.691
O 0.209 0.461 0.780
O 0.291 0.539 0.280
O 0.303 0.057 0.191
O 0.500 0.224 0.606
O 0.500 0.725 0.923
O 0.697 0.057 0.191
O 0.709 0.539 0.280
O 0.791 0.461 0.780
O 0.803 0.943 0.691

Calculated values
Crystal system: orthorhombic

8.
Here is Cs2AuSeBr after structural relaxation from Alexandria. Energies are from GGA-PBE.

Unit cell a=7.008 b=7.008 c=4.861 alpha=90.00 beta=90.00 gamma=90.00
Element x y z (fractional)
Cs 0.000 0.500 0.000
Cs 0.500 0.000 0.000
Au 0.000 0.000 0.500
Se 0.000 0.000 0.000
Br 0.500 0.500 0.500

Calculated values
Crystal system: tetragonal
Excess energy over the best structure of this formula in the dataset, meV per atom: 0

9.
Here is K2TlHg2 after structural relaxation from Alexandria. Energies are from GGA-PBE.

Unit cell a=4.913 b=7.150 c=10.445 alpha=90.00 beta=90.00 gamma=90.00
Element x y z (fractional)
K 0.000 0.000 0.204
K 0.000 0.000 0.796
K 0.500 0.500 0.296
K 0.500 0.500 0.704
Tl 0.000 0.500 0.000
Tl 0.500 0.000 0.500
Hg 0.000 0.276 0.500
Hg 0.000 0.724 0.500
Hg 0.500 0.224 0.000
Hg 0.500 0.776 0.000

Calculated values
Crystal system: orthorhombic
Energy of formation from the pure elements, eV/atom: -0.215
Excess energy over the best structure of this formula in the dataset, meV per atom: 0

10.
Here is Ir3AuO after structural relaxation from Alexandria. Energies are from GGA-PBE.

Unit cell a=4.928 b=4.928 c=4.928 alpha=90.00 beta=90.00 gamma=90.00
Element x y z (fractional)
Ir 0.000 0.000 0.500
Ir 0.000 0.500 0.000
Ir 0.500 0.000 0.000
Au 0.000 0.000 0.000
O 0.500 0.500 0.500

Calculated values
Crystal system: cubic
Excess energy over the best structure of this formula in the dataset, meV per atom: 2046

11.
Here is NaHfCr2Cd after structural relaxation from Alexandria. Energies are from GGA-PBE.

Unit cell a=4.779 b=4.779 c=5.076 alpha=90.00 beta=90.00 gamma=90.00
Element x y z (fractional)
Na 0.000 0.000 0.000
Hf 0.000 0.000 0.500
Cr 0.000 0.500 0.000
Cr 0.500 0.000 0.000
Cd 0.500 0.500 0.500

Calculated values
Crystal system: tetragonal
Energy of formation from the pure elements, eV/atom: 1.727

12.
Here is YTi2Re after structural relaxation from Alexandria. Energies are from GGA-PBE.

Unit cell a=3.194 b=3.194 c=7.698 alpha=90.00 beta=90.00 gamma=90.00
Element x y z (fractional)
Y 0.000 0.000 0.000
Ti 0.500 0.500 0.315
Ti 0.500 0.500 0.685
Re 0.000 0.000 0.500

Calculated values
Crystal system: tetragonal
Energy of formation from the pure elements, eV/atom: -0.072
Excess energy over the best structure of this formula in the dataset, meV per atom: 0

Total energy, respectively: -27.30 -47.59 -29.26 -43.84 -43.19 -105.54 -163.40 -14.90 -12.48 -20.26 -22.80 -34.99 eV for the cell shown.
Calculated volume, respectively: 72 267 106 181 761 390 225 239 367 120 116 79 Å³ per cell.